# 1
# TaTl3Cr

A relaxed TaTl3Cr crystal (PBE, Alexandria via LeMat-Bulk).

a b c (Å): 5.147 5.147 5.147
angles (deg): 90.00 90.00 90.00
Last column: magnetic moment on the atom in μB.
Positions (direct):
Tl: 0.500 0.000 0.000  -0.01
Tl: 0.000 0.500 0.000  -0.02
Tl: 0.000 0.000 0.500  -0.01
Cr: 0.000 0.000 0.000  3.00
Ta: 0.500 0.500 0.500  1.65

Values from the calculation:
**Magnetic moment**: 5.53 μB per cell
**E_form**: 1.43 eV per atom
**Total DFT energy (no corrections)**: -4.282 eV/atom
**Fermi-level density of states**: 9.30 states/eV/cell
**Relative energy among the computed polymorphs**: 0.0 meV per atom


# 2
# Sc2TiCuH

A relaxed Sc2TiCuH crystal (PBE, Alexandria via LeMat-Bulk).

a b c (Å): 4.526 4.526 3.800
angles (deg): 90.00 90.00 90.00
Last column: magnetic moment on the atom in μB.
Positions (direct):
Ti: 0.000 0.000 0.500  1.17
Sc: 0.000 0.500 0.000  0.25
Sc: 0.500 0.000 0.000  0.25
Cu: 0.500 0.500 0.500  0.04
H: 0.000 0.000 0.000  -0.01

Values from the calculation:
**Magnetic moment**: 2.24 μB per cell
**Total DFT energy (no corrections)**: -5.713 eV/atom
**Fermi-level density of states**: 5.02 states/eV/cell


# 3
# CuCl2

A relaxed CuCl2 crystal (PBE, Alexandria via LeMat-Bulk).

a b c (Å): 5.288 5.288 5.288
angles (deg): 129.36 129.36 74.43
Positions (direct):
Cu: 0.000 0.000 0.000
Cl: 0.500 0.000 0.500
Cl: 0.000 0.500 0.500

Values from the calculation:
**Magnetic moment**: 0.00 μB per cell
**Total DFT energy (no corrections)**: -2.912 eV/atom
**Fermi-level density of states**: 1.35 states/eV/cell
**Uncorrected formation energy**: -91 kJ/mol of formula units


# 4
# Ba2Cd

A relaxed Ba2Cd crystal (PBE, Alexandria via LeMat-Bulk).

a b c (Å): 4.601 8.420 8.585
angles (deg): 90.00 90.00 90.00
Positions (direct):
Ba: 0.500 0.728 0.839
Ba: 0.000 0.772 0.339
Ba: 0.500 0.272 0.161
Ba: 0.000 0.228 0.661
Cd: 0.000 0.000 0.000
Cd: 0.500 0.500 0.500

Values from the calculation:
**Magnetic moment**: 0.00 μB per cell
**E_form**: -0.08 eV per atom
**Total DFT energy (no corrections)**: -1.671 eV/atom
**Fermi-level density of states**: 8.89 states/eV/cell